Record 1
A plane-wave DFT calculation with PBE with a Hubbard U was carried out for crystalline Na3VO3 at its relaxed geometry.

Calculated values
Density = 2.84 g/cm3
Energy above the most stable polymorph in this dataset = 52 meV/atom
Total DFT energy (no corrections) = -37.2 eV/f.u.
Magnetic moment = 0.0 μB per formula unit

Lattice parameters (Å, degrees): 4.714 9.133 9.115 90.00 90.00 90.00
Sites, in units of the cell vectors:
O 0.500 0.818 0.393
O 0.000 0.097 0.902
O 0.500 0.403 0.402
O 0.000 0.318 0.107
O 0.000 0.893 0.681
O 0.500 0.597 0.598
O 0.000 0.107 0.319
O 0.500 0.182 0.607
O 0.000 0.682 0.893
O 0.000 0.903 0.098
O 0.500 0.393 0.819
O 0.500 0.607 0.181
V 0.500 0.619 0.381
V 0.000 0.119 0.119
V 0.000 0.881 0.881
V 0.500 0.381 0.619
Na 0.500 0.631 0.878
Na 0.000 0.131 0.622
Na 0.500 0.369 0.122
Na 0.000 0.360 0.360
Na 0.000 0.640 0.640
Na 0.500 0.860 0.140
Na 0.500 0.877 0.632
Na 0.000 0.869 0.378
Na 0.500 0.140 0.860
Na 0.000 0.623 0.132
Na 0.500 0.123 0.368
Na 0.000 0.377 0.868



Record 2
A plane-wave DFT calculation with PBE with a Hubbard U was carried out for crystalline Na3V5O10 at its relaxed geometry.

Calculated values
Density = 3.67 g/cm3
Total DFT energy (no corrections) = -126.7 eV/f.u.
Magnetic moment = 8.0 μB per formula unit

Lattice parameters (Å, degrees): 5.113 6.575 7.263 108.50 97.36 104.31
Sites, in units of the cell vectors:
Na 0.792 0.093 0.598
Na 0.400 0.306 0.803
Na 0.606 0.700 0.199
V 0.199 0.404 0.395
V 0.999 0.995 0.002
V 0.603 0.199 0.199
V 0.395 0.804 0.798
V 0.808 0.599 0.604
O 0.879 0.510 0.328
O 0.307 0.310 0.123
O 0.891 0.090 0.281
O 0.514 0.291 0.479
O 0.324 0.892 0.073
O 0.709 0.687 0.875
O 0.091 0.479 0.671
O 0.082 0.911 0.718
O 0.508 0.710 0.526
O 0.692 0.120 0.928



Record 3
A plane-wave DFT calculation with PBE with a Hubbard U was carried out for crystalline NaV4O7 at its relaxed geometry.

Calculated values
Density = 2.58 g/cm3
Total DFT energy (no corrections) = -87.8 eV/f.u.
Magnetic moment = 7.0 μB per formula unit

Lattice parameters (Å, degrees): 5.402 5.723 14.118 90.00 90.00 90.00
Sites, in units of the cell vectors:
O 0.497 0.363 0.864
O 0.892 0.723 0.854
O 0.497 0.363 0.136
O 0.397 0.877 0.213
O 0.490 0.792 0.000
O 0.392 0.277 0.646
O 0.997 0.637 0.636
O 0.892 0.723 0.146
O 0.897 0.123 0.713
O 0.997 0.637 0.364
O 0.897 0.123 0.287
O 0.990 0.208 0.500
O 0.392 0.277 0.354
O 0.397 0.877 0.787
V 0.056 0.823 0.745
V 0.556 0.177 0.245
V 0.063 0.321 0.620
V 0.556 0.177 0.755
V 0.563 0.679 0.120
V 0.056 0.823 0.255
V 0.063 0.321 0.380
V 0.563 0.679 0.880
Na 0.353 0.177 0.000
Na 0.853 0.823 0.500



Record 4
A plane-wave DFT calculation with PBE with a Hubbard U was carried out for crystalline Na2VO3 at its relaxed geometry.

Calculated values
Density = 3.08 g/cm3
Total DFT energy (no corrections) = -36.4 eV/f.u.
Magnetic moment = 1.0 μB per formula unit

Lattice parameters (Å, degrees): 5.467 5.604 5.604 65.35 89.79 89.79
Sites, in units of the cell vectors:
Na 0.251 0.830 0.523
Na 0.751 0.523 0.830
Na 0.249 0.477 0.170
Na 0.749 0.170 0.477
O 0.501 0.865 0.865
O 0.499 0.135 0.135
O 0.250 0.388 0.612
O 0.750 0.612 0.388
O 0.999 0.135 0.135
O 0.001 0.865 0.865
V 0.750 0.896 0.104
V 0.250 0.104 0.896



Record 5
A plane-wave DFT calculation with PBE with a Hubbard U was carried out for crystalline NaV2O5 at its relaxed geometry.

Calculated values
Density = 3.18 g/cm3
Energy above the most stable polymorph in this dataset = 7 meV/atom
Total DFT energy (no corrections) = -56.7 eV/f.u.
Magnetic moment = 1.0 μB per formula unit

Lattice parameters (Å, degrees): 3.647 5.108 11.485 90.00 90.00 90.00
Sites, in units of the cell vectors:
O 0.000 0.927 0.628
O 0.000 0.525 0.178
O 0.500 0.076 0.128
O 0.000 0.513 0.821
O 0.500 0.541 0.993
O 0.000 0.912 0.369
O 0.500 0.489 0.321
O 0.000 0.461 0.493
O 0.500 0.477 0.678
O 0.500 0.091 0.869
V 0.000 0.594 0.350
V 0.000 0.606 0.651
V 0.500 0.408 0.850
V 0.500 0.396 0.151
Na 0.500 0.129 0.511
Na 0.000 0.873 0.011



Record 6
A plane-wave DFT calculation with PBE with a Hubbard U was carried out for crystalline NaVO2 at its relaxed geometry.

Calculated values
Density = 3.91 g/cm3
Total DFT energy (no corrections) = -26.4 eV/f.u.
Magnetic moment = 2.0 μB per formula unit

Lattice parameters (Å, degrees): 3.047 3.047 5.864 74.94 74.94 60.00
Sites, in units of the cell vectors:
O 0.068 0.068 0.797
O 0.268 0.268 0.195
V 0.668 0.668 0.997
Na 0.496 0.496 0.511



Record 7
A plane-wave DFT calculation with PBE with a Hubbard U was carried out for crystalline NaV5O8 at its relaxed geometry.

Calculated values
Density = 4.08 g/cm3
Energy above the most stable polymorph in this dataset = 36 meV/atom
Total DFT energy (no corrections) = -105.5 eV/f.u.
Magnetic moment = 10.0 μB per formula unit

Lattice parameters (Å, degrees): 2.995 5.532 10.621 102.57 90.93 105.34
Sites, in units of the cell vectors:
O 0.869 0.734 0.799
O 0.120 0.254 0.696
O 0.879 0.712 0.316
O 0.646 0.320 0.433
O 0.351 0.677 0.066
O 0.336 0.687 0.576
O 0.169 0.299 0.198
O 0.656 0.300 0.919
V 0.264 0.523 0.882
V 0.259 0.527 0.379
V 0.728 0.464 0.618
V 0.755 0.474 0.123
V 0.497 0.994 0.749
Na 0.521 0.998 0.249



Record 8
A plane-wave DFT calculation with PBE with a Hubbard U was carried out for crystalline NaVO2 at its relaxed geometry.

Calculated values
Density = 3.97 g/cm3
Total DFT energy (no corrections) = -26.6 eV/f.u.
Magnetic moment = 2.0 μB per formula unit

Lattice parameters (Å, degrees): 5.711 5.711 5.711 31.18 31.18 31.18
Sites, in units of the cell vectors:
Na 0.000 0.000 0.000
O 0.766 0.766 0.766
O 0.234 0.234 0.234
V 0.500 0.500 0.500